Below is a PBEsol-optimized structure of Al3TlPt, with properties calculated at the SCAN level.

extended XYZ file:
```
5
Lattice="4.984 0.000 0.000 0.000 4.984 0.000 0.000 0.000 4.984" Properties=species:S:1:pos:R:3 pbc="T T T"
Al 0.000 0.000 2.492
Al 0.000 2.492 0.000
Al 2.492 0.000 0.000
Tl 0.000 0.000 0.000
Pt 2.492 2.492 2.492
```

## Properties
SG: No. 221
V: 24.768 A^3/atom
N(E_F): 0.402 states/eV/atom
Formation energy from the elements: 1.16 eV/atom
Theoretical density: 6.4 g cm⁻³

Below is a PBEsol-optimized structure of MgP, with properties calculated at the SCAN level.

extended XYZ file:
```
4
Lattice="4.111 0.000 0.000 0.000 4.573 0.000 0.000 0.000 3.593" Properties=species:S:1:pos:R:3 pbc="T T T"
Mg 0.000 0.000 0.000
Mg 2.055 2.287 0.000
P 0.000 2.287 1.796
P 2.055 0.000 1.796
```

## Properties
SG: No. 65
V: 16.885 A^3/atom
N(E_F): 0.320 states/eV/atom
Formation energy from the elements: -0.19 eV/atom
Theoretical density: 2.7 g cm⁻³
Offset from the most stable computed form: 0.276 eV per atom

Below is a PBEsol-optimized structure of KSb5O13, with properties calculated at the SCAN level.

extended XYZ file:
```
38
Lattice="3.312 -4.499 0.000 3.312 4.499 0.000 0.000 0.000 16.896" Properties=species:S:1:pos:R:3 pbc="T T T"
K 3.312 3.353 12.672
K 3.312 -3.353 4.224
Sb 0.000 0.000 0.000
Sb 0.000 0.000 8.448
Sb 3.312 2.406 2.333
Sb 3.312 2.406 6.115
Sb 3.312 1.030 9.758
Sb 3.312 1.030 15.586
Sb 3.312 -1.030 1.310
Sb 3.312 -1.030 7.138
Sb 3.312 -2.406 10.781
Sb 3.312 -2.406 14.563
O 3.312 4.362 1.918
O 3.312 4.362 6.530
O 1.971 2.069 10.696
O 1.971 2.069 14.648
O 3.312 2.854 4.224
O 3.312 2.467 0.172
O 3.312 2.467 8.276
O 2.057 0.000 0.000
O 2.057 0.000 8.448
O 3.312 0.472 2.560
O 3.312 0.472 5.888
O 4.653 2.069 10.696
O 4.653 2.069 14.648
O 1.971 -2.069 2.248
O 1.971 -2.069 6.200
O 3.312 -0.472 11.008
O 3.312 -0.472 14.335
O 4.567 0.000 0.000
O 4.567 0.000 8.448
O 3.312 -2.467 8.620
O 3.312 -2.467 16.723
O 3.312 -2.854 12.672
O 4.653 -2.069 2.248
O 4.653 -2.069 6.200
O 3.312 -4.362 10.365
O 3.312 -4.362 14.978
```

## Properties
ΔE_f (raw): -150.8 kJ/mol of atoms
SG: No. 63
V: 13.251 A^3/atom
Theoretical density: 5.6 g cm⁻³

- What is the theoretical density in the second record?
  2.7 g cm⁻³